Compound: RePb3F
Source: Alexandria via LeMat-Bulk
Functional: PBE-GGA
Structure: relaxed

a b c (Å): 4.9709 4.9709 4.9709
angles (deg): 90.00 90.00 90.00
Space group Pm-3m (No. 221)
Asymmetric unit:
Re1 0.0000 0.0000 0.0000 x1
Pb1 0.0000 0.5000 0.5000 x3
F1 0.5000 0.5000 0.5000 x1

Properties
Crystal system = cubic
Density = 11.2 Mg/m³
Raw formation energy = 458 meV per atom